# 1
Compound: SrCaAg2F6
Source: Alexandria
Functional: PBE
Structure: relaxed

Output
The density of states at the Fermi level is 0.00 states/eV/f.u.

a b c (Å): 6.0711 6.2734 10.6682
angles (deg): 90.00 124.21 90.00
Closest atoms and distances in Å follow each position.
Space group P2_1/c (No. 14)
Inequivalent atoms, fractional coordinates:
Sr (0.0000, 0.0000, 0.0000) [2 per cell]  6 F 2.41-2.48
Ca (0.5000, 0.0000, 0.5000) [2 per cell]  6 F 2.26-2.32
Ag (0.2658, 0.0585, 0.7494) [4 per cell]  4 F 2.42-2.51
F (0.1303, 0.0825, 0.2602) [4 per cell]  1 Ca 2.32, 2 Ag 2.42-2.51, 1 Sr 2.48
F (0.2625, 0.6799, 0.0692) [4 per cell]  1 Ca 2.26, 1 Sr 2.41, 1 Ag 2.43
F (0.4014, 0.1976, 0.0759) [4 per cell]  1 Ca 2.27, 1 Ag 2.43, 1 Sr 2.43

# 2
Compound: CaTl2Ag2F6
Source: Alexandria
Functional: PBE
Structure: relaxed

Output
The density of states at the Fermi level is 0.00 states/eV/f.u.

a b c (Å): 11.9666 6.1081 6.9632
angles (deg): 90.00 123.33 90.00
Closest atoms and distances in Å follow each position.
Space group C2/m (No. 12)
Inequivalent atoms, fractional coordinates:
Ca (0.0000, 0.0000, 0.0000) [2 per cell]  6 F 2.24-2.29
Tl (0.2346, 0.0000, 0.7877) [4 per cell]  4 F 2.67-2.72
Ag (0.0816, 0.5000, 0.4028) [4 per cell]  3 F 2.18-2.32
F (0.0770, 0.2520, 0.8549) [8 per cell]  1 Ca 2.29, 1 Ag 2.32
F (0.2085, 0.0000, 0.3149) [4 per cell]  1 Ag 2.18, 1 Ca 2.24

# 3
Compound: CaTlAg2F6
Source: Alexandria
Functional: PBE
Structure: relaxed

Output
The density of states at the Fermi level is 4.36 states/eV/f.u.

a b c (Å): 6.0734 6.2332 10.6576
angles (deg): 90.00 124.47 90.00
Closest atoms and distances in Å follow each position.
Space group P2_1/c (No. 14)
Inequivalent atoms, fractional coordinates:
Ca (0.0000, 0.0000, 0.0000) [2 per cell]  6 F 2.28-2.30
Tl (0.5000, 0.0000, 0.5000) [2 per cell]  6 F 2.39-2.45
Ag (0.2696, 0.0614, 0.7526) [4 per cell]  4 F 2.41-2.49
F (0.1112, 0.0713, 0.2412) [4 per cell]  1 Ca 2.30, 1 Tl 2.45, 2 Ag 2.46-2.49
F (0.2456, 0.6929, 0.0725) [4 per cell]  1 Ca 2.28, 1 Tl 2.40, 1 Ag 2.43
F (0.3801, 0.1797, 0.0704) [4 per cell]  1 Ca 2.28, 1 Tl 2.39, 1 Ag 2.41

Record-wise uncorrected formation energy values, in eV/f.u.: -26.97 -22.46 -20.42